Crystalline LaZr2Sc at its relaxed geometry. Source: the Alexandria database, functional GGA-PBE.

## Properties
- ΔH_f (0 K) (eV per atom) = 0.12
- mass density (g/cm³) = 5.85
- electronic total energy (eV/f.u.) = -27.88
- energy relative to the lowest polymorph listed for this composition (meV/atom) = 21
- space group = R3m (160)

Unit cell a=11.009 b=11.009 c=11.009 alpha=17.39 beta=17.39 gamma=17.39
Atoms (fractional coordinates):
La  0.502  0.502  0.502
Sc  0.744  0.744  0.744
Zr  0.999  0.999  0.999
Zr  0.255  0.255  0.255


Crystalline BeZnAs2Br at its relaxed geometry. Source: the Alexandria database, functional GGA-PBE.

## Properties
- mass density (g/cm³) = 3.72
- formation energy from raw total energies (eV/f.u.) = 2.1
- electronic total energy (eV/f.u.) = -13.83
- energy relative to the lowest polymorph listed for this composition (meV/atom) = 0
- space group = P4/mmm (123)

Unit cell a=4.212 b=4.212 c=7.658 alpha=90.00 beta=90.00 gamma=90.00
Atoms (fractional coordinates):
Be  0.000  0.000  0.000
As  0.000  0.500  0.000
As  0.500  0.000  0.000
Zn  0.500  0.500  0.500
Br  0.000  0.000  0.500


Crystalline Ca2ScOs at its relaxed geometry. Source: the Alexandria database, functional GGA-PBE.

## Properties
- ΔH_f (0 K) (eV per atom) = 0.09
- mass density (g/cm³) = 4.54
- electronic total energy (eV/f.u.) = -21.20
- energy relative to the lowest polymorph listed for this composition (meV/atom) = 70
- space group = Immm (71)

Unit cell a=8.540 b=8.540 c=8.540 alpha=157.67 beta=150.78 gamma=37.08
Atoms (fractional coordinates):
Sc  0.250  0.750  0.500
Ca  0.905  0.905  0.000
Ca  0.595  0.595  0.000
Os  0.750  0.250  0.500


Crystalline HfCd2TeMo at its relaxed geometry. Source: the Alexandria database, functional GGA-PBE.

## Properties
- mass density (g/cm³) = 7.41
- formation energy from raw total energies (eV/f.u.) = 4.2
- electronic total energy (eV/f.u.) = -21.53
- space group = P4/mmm (123)

Unit cell a=5.359 b=4.895 c=5.359 alpha=90.00 beta=90.00 gamma=90.00
Atoms (fractional coordinates):
Mo  0.000  0.000  0.000
Te  0.500  0.500  0.500
Hf  0.000  0.500  0.000
Cd  0.000  0.000  0.500
Cd  0.500  0.000  0.000


Crystalline Pm2InIr2Rh5 at its relaxed geometry. Source: the Alexandria database, functional GGA-PBE.

## Properties
- ΔH_f (0 K) (eV per atom) = -0.36
- mass density (g/cm³) = 11.77
- electronic total energy (eV/f.u.) = -70.31
- space group = P4/mbm (127)

Unit cell a=4.080 b=9.497 c=9.497 alpha=90.00 beta=90.00 gamma=90.00
Atoms (fractional coordinates):
Pm  0.000  0.668  0.168
Pm  0.000  0.332  0.832
Pm  0.000  0.168  0.332
Pm  0.000  0.832  0.668
In  0.000  0.000  0.000
In  0.000  0.500  0.500
Ir  0.000  0.130  0.630
Ir  0.000  0.870  0.370
Ir  0.000  0.630  0.870
Ir  0.000  0.370  0.130
Rh  0.500  0.206  0.070
Rh  0.500  0.794  0.930
Rh  0.500  0.070  0.794
Rh  0.500  0.706  0.430
Rh  0.500  0.930  0.206
Rh  0.500  0.294  0.570
Rh  0.500  0.570  0.706
Rh  0.500  0.430  0.294
Rh  0.500  0.500  0.000
Rh  0.500  0.000  0.500


Crystalline Cu2HgP at its relaxed geometry. Source: the Alexandria database, functional GGA-PBE.

## Properties
- ΔH_f (0 K) (eV per atom) = 0.38
- mass density (g/cm³) = 9.53
- electronic total energy (eV/f.u.) = -12.37
- space group = Fm-3m (225)

Unit cell a=4.455 b=4.455 c=4.455 alpha=60.00 beta=60.00 gamma=60.00
Atoms (fractional coordinates):
P  0.000  0.000  0.000
Hg  0.500  0.500  0.500
Cu  0.250  0.250  0.250
Cu  0.750  0.750  0.750